(1)
Computed, not measured: a relaxed structure of Ba3Tl2Sn2Au4 at the PBE level of DFT.

CIF file:
```
data_Ba3Tl2Sn2Au4
_cell_length_a 4.9521
_cell_length_b 4.9521
_cell_length_c 16.2949
_cell_angle_alpha 90.00
_cell_angle_beta 90.00
_cell_angle_gamma 120.00
_space_group_name_H-M_alt 'P 1'
_space_group_IT_number 1
_space_group_name_Hall 'P 1'
loop_
_atom_site_label
_atom_site_type_symbol
_atom_site_fract_x
_atom_site_fract_y
_atom_site_fract_z
_atom_site_occupancy
Ba1 Ba 0.0000 0.0000 0.0000 1
Ba2 Ba 0.0000 0.0000 0.2778 1
Ba3 Ba 0.0000 0.0000 0.7222 1
Tl1 Tl 0.3333 0.6667 0.5623 1
Tl2 Tl 0.6667 0.3333 0.4377 1
Sn1 Sn 0.3333 0.6667 0.1490 1
Sn2 Sn 0.6667 0.3333 0.8510 1
Au1 Au 0.3333 0.6667 0.3810 1
Au2 Au 0.3333 0.6667 0.8610 1
Au3 Au 0.6667 0.3333 0.1390 1
Au4 Au 0.6667 0.3333 0.6190 1
```

Properties
- N(E_F): 6.98 states/eV per cell
- Energy relative to the elements: -549 meV/atom

(2)
Computed, not measured: a relaxed structure of LaNd3 at the PBE level of DFT.

CIF file:
```
data_LaNd3
_cell_length_a 8.3134
_cell_length_b 8.3134
_cell_length_c 8.3134
_cell_angle_alpha 90.00
_cell_angle_beta 90.00
_cell_angle_gamma 90.00
_space_group_name_H-M_alt 'P 1'
_space_group_IT_number 1
_space_group_name_Hall 'P 1'
loop_
_atom_site_label
_atom_site_type_symbol
_atom_site_fract_x
_atom_site_fract_y
_atom_site_fract_z
_atom_site_occupancy
La1 La 0.0000 0.0000 0.0000 1
La2 La 0.0000 0.5000 0.5000 1
La3 La 0.5000 0.0000 0.5000 1
La4 La 0.5000 0.5000 0.0000 1
Nd1 Nd 0.0000 0.0000 0.5000 1
Nd2 Nd 0.0000 0.5000 0.0000 1
Nd3 Nd 0.2500 0.2500 0.2500 1
Nd4 Nd 0.2500 0.2500 0.7500 1
Nd5 Nd 0.2500 0.7500 0.2500 1
Nd6 Nd 0.2500 0.7500 0.7500 1
Nd7 Nd 0.5000 0.0000 0.0000 1
Nd8 Nd 0.5000 0.5000 0.5000 1
Nd9 Nd 0.7500 0.2500 0.2500 1
Nd10 Nd 0.7500 0.2500 0.7500 1
Nd11 Nd 0.7500 0.7500 0.2500 1
Nd12 Nd 0.7500 0.7500 0.7500 1
```

Properties
- Distance to the lowest polymorph of the same formula: 117 meV/atom
- N(E_F): 43.50 states/eV per cell
- Energy relative to the elements: 129 meV/atom

(3)
Computed, not measured: a relaxed structure of TmThOsRh at the PBE level of DFT.

CIF file:
```
data_TmThOsRh
_cell_length_a 6.9560
_cell_length_b 6.9560
_cell_length_c 6.9560
_cell_angle_alpha 90.00
_cell_angle_beta 90.00
_cell_angle_gamma 90.00
_space_group_name_H-M_alt 'P 1'
_space_group_IT_number 1
_space_group_name_Hall 'P 1'
loop_
_atom_site_label
_atom_site_type_symbol
_atom_site_fract_x
_atom_site_fract_y
_atom_site_fract_z
_atom_site_occupancy
Tm1 Tm 0.0000 0.0000 0.0000 1
Tm2 Tm 0.0000 0.5000 0.5000 1
Tm3 Tm 0.5000 0.0000 0.5000 1
Tm4 Tm 0.5000 0.5000 0.0000 1
Th1 Th 0.0000 0.0000 0.5000 1
Th2 Th 0.0000 0.5000 0.0000 1
Th3 Th 0.5000 0.0000 0.0000 1
Th4 Th 0.5000 0.5000 0.5000 1
Os1 Os 0.2500 0.2500 0.2500 1
Os2 Os 0.2500 0.7500 0.7500 1
Os3 Os 0.7500 0.2500 0.7500 1
Os4 Os 0.7500 0.7500 0.2500 1
Rh1 Rh 0.2500 0.2500 0.7500 1
Rh2 Rh 0.2500 0.7500 0.2500 1
Rh3 Rh 0.7500 0.2500 0.2500 1
Rh4 Rh 0.7500 0.7500 0.7500 1
```

Properties
- N(E_F): 6.01 states/eV per cell
- Energy relative to the elements: -568 meV/atom

(4)
Computed, not measured: a relaxed structure of Al4Ga2Fe at the PBE level of DFT.

CIF file:
```
data_Al4Ga2Fe
_cell_length_a 4.5523
_cell_length_b 4.5523
_cell_length_c 13.1638
_cell_angle_alpha 90.00
_cell_angle_beta 90.00
_cell_angle_gamma 90.00
_space_group_name_H-M_alt 'P 1'
_space_group_IT_number 1
_space_group_name_Hall 'P 1'
loop_
_atom_site_label
_atom_site_type_symbol
_atom_site_fract_x
_atom_site_fract_y
_atom_site_fract_z
_atom_site_occupancy
Al1 Al 0.0000 0.0000 0.1741 1
Al2 Al 0.0000 0.0000 0.8259 1
Al3 Al 0.0000 0.5000 0.0000 1
Al4 Al 0.0000 0.5000 0.5000 1
Al5 Al 0.5000 0.0000 0.0000 1
Al6 Al 0.5000 0.0000 0.5000 1
Al7 Al 0.5000 0.5000 0.3259 1
Al8 Al 0.5000 0.5000 0.6741 1
Ga1 Ga 0.0000 0.0000 0.3689 1
Ga2 Ga 0.0000 0.0000 0.6311 1
Ga3 Ga 0.5000 0.5000 0.1311 1
Ga4 Ga 0.5000 0.5000 0.8689 1
Fe1 Fe 0.0000 0.0000 0.0000 1
Fe2 Fe 0.5000 0.5000 0.5000 1
```

Properties
- N(E_F): 7.91 states/eV per cell
- Energy relative to the elements: 234 meV/atom

(5)
Computed, not measured: a relaxed structure of KAl4Ge2 at the PBE level of DFT.

CIF file:
```
data_KAl4Ge2
_cell_length_a 8.3462
_cell_length_b 8.3462
_cell_length_c 4.1537
_cell_angle_alpha 90.00
_cell_angle_beta 90.00
_cell_angle_gamma 90.00
_space_group_name_H-M_alt 'P 1'
_space_group_IT_number 1
_space_group_name_Hall 'P 1'
loop_
_atom_site_label
_atom_site_type_symbol
_atom_site_fract_x
_atom_site_fract_y
_atom_site_fract_z
_atom_site_occupancy
K1 K 0.0000 0.0000 0.0000 1
K2 K 0.5000 0.5000 0.5000 1
Al1 Al 0.0720 0.3445 0.5000 1
Al2 Al 0.1555 0.5720 0.0000 1
Al3 Al 0.3445 0.0720 0.5000 1
Al4 Al 0.4280 0.8445 0.0000 1
Al5 Al 0.5720 0.1555 0.0000 1
Al6 Al 0.6555 0.9280 0.5000 1
Al7 Al 0.8445 0.4280 0.0000 1
Al8 Al 0.9280 0.6555 0.5000 1
Ge1 Ge 0.2236 0.7764 0.5000 1
Ge2 Ge 0.2764 0.2764 0.0000 1
Ge3 Ge 0.7236 0.7236 0.0000 1
Ge4 Ge 0.7764 0.2236 0.5000 1
```

Properties
- N(E_F): 4.76 states/eV per cell
- Energy relative to the elements: -3 meV/atom

(6)
Computed, not measured: a relaxed structure of La5Pm8Er at the PBE level of DFT.

CIF file:
```
data_La5Pm8Er
_cell_length_a 8.6517
_cell_length_b 8.6517
_cell_length_c 8.6517
_cell_angle_alpha 110.62
_cell_angle_beta 110.62
_cell_angle_gamma 107.20
_space_group_name_H-M_alt 'P 1'
_space_group_IT_number 1
_space_group_name_Hall 'P 1'
loop_
_atom_site_label
_atom_site_type_symbol
_atom_site_fract_x
_atom_site_fract_y
_atom_site_fract_z
_atom_site_occupancy
La1 La 0.0000 0.0000 0.0000 1
La2 La 0.2066 0.3133 0.6781 1
La3 La 0.4716 0.7934 0.1068 1
La4 La 0.6352 0.5284 0.3219 1
La5 La 0.6867 0.3648 0.8932 1
Pm1 Pm 0.1652 0.4260 0.1020 1
Pm2 Pm 0.3240 0.0633 0.8980 1
Pm3 Pm 0.4243 0.1661 0.4004 1
Pm4 Pm 0.5740 0.6760 0.7393 1
Pm5 Pm 0.7657 0.0239 0.5996 1
Pm6 Pm 0.8339 0.2343 0.2583 1
Pm7 Pm 0.9367 0.8348 0.2607 1
Pm8 Pm 0.9761 0.5757 0.7417 1
Er1 Er 0.2500 0.7500 0.5000 1
```

Properties
- N(E_F): 22.07 states/eV per cell
- Energy relative to the elements: 226 meV/atom

Let's list total DFT energy (no corrections) in order: -3.42 -4.68 -8.19 -3.98 -3.62 -4.57 eV per atom.